Below is a relaxed NiPOs3 crystal, with properties calculated at the PBE-GGA level.

The calculation puts the uncorrected energy at -6.800 eV per atom. As for the energy above the most stable polymorph in this dataset: 1027.4 meV/atom.

It has space group Pm-3m (No. 221), with a = 4.420 Å, b = 4.420 Å, c = 4.420 Å, α = 90.00°, β = 90.00° and γ = 90.00°. Symmetry generates all atoms from Ni at (0.000, 0.000, 0.000), P at (0.500, 0.500, 0.500) and Os at (0.000, 0.000, 0.500).

---

Below is a relaxed Er2GaRh2 crystal, with properties calculated at the PBE-GGA level.

The calculation puts the uncorrected energy at -6.274 eV per atom.

It has space group C2/c (No. 15), with a = 10.082 Å, b = 5.383 Å, c = 7.579 Å, α = 90.00°, β = 105.44° and γ = 90.00°. Symmetry generates all atoms from Er at (0.147, 0.149, 0.150), Ga at (0.000, 0.349, 0.750) and Rh at (0.132, 0.361, 0.507).

---

Below is a relaxed LaY2BeP crystal, with properties calculated at the PBE-GGA level.

The calculation puts the uncorrected energy at -5.354 eV per atom.

It has space group P4/mmm (No. 123), with a = 5.098 Å, b = 5.098 Å, c = 5.167 Å, α = 90.00°, β = 90.00° and γ = 90.00°. Symmetry generates all atoms from La at (0.000, 0.000, 0.000), Y at (0.000, 0.500, 0.500), Be at (0.000, 0.000, 0.500) and P at (0.500, 0.500, 0.000).

---

Number 1: ΔE_f 2176 meV/atom, total moment 0.365 μB/atom. Number 2: ΔE_f -903 meV/atom, total moment 0.000 μB/atom. Number 3: ΔE_f 45 meV/atom, total moment 0.000 μB/atom.